#A
This record from the Alexandria database describes a relaxed La2MgInCo crystal. The functional is GGA-PBE.

Properties
**Space group**: P4/mmm (123)
**Total magnetization**: 0.000 μB per cell
**Fermi-level density of states**: 4.7 states/eV per cell

Cell: 5.2106 5.2106 5.0788 Å, 90.00 90.00 90.00°
Closest atoms and distances in Å follow each position.
Atoms (fractional coordinates):
1 Co 0.0000 0.0000 0.0000  2 Mg 2.54, 4 La 2.61
2 La 0.5000 0.0000 0.0000  2 Co 2.61
3 La 0.0000 0.5000 0.0000  2 Co 2.61
4 In 0.5000 0.5000 0.5000  8 La 3.64, 4 Mg 3.68
5 Mg 0.0000 0.0000 0.5000  2 Co 2.54


#B
This record from the Alexandria database describes a relaxed La2MgInCo crystal. The functional is GGA-PBE.

Properties
**Space group**: P4/mmm (123)
**Total magnetization**: 0.000 μB per cell
**Fermi-level density of states**: 5.3 states/eV per cell

Cell: 5.2563 5.2563 5.1032 Å, 90.00 90.00 90.00°
Closest atoms and distances in Å follow each position.
Atoms (fractional coordinates):
1 Mg 0.5000 0.5000 0.5000  8 La 3.66, 4 In 3.72
2 Co 0.0000 0.0000 0.0000  2 In 2.55, 4 La 2.63
3 In 0.0000 0.0000 0.5000  2 Co 2.55
4 La 0.5000 0.0000 0.0000  2 Co 2.63
5 La 0.0000 0.5000 0.0000  2 Co 2.63


Best to worst by energy: #A, #B.


#A
This record from the Alexandria database describes a relaxed LaMg2InCo crystal. The functional is GGA-PBE.

Properties
**Space group**: P4/mmm (123)
**Total magnetization**: 0.000 μB per cell
**Fermi-level density of states**: 5.2 states/eV per cell

Cell: 5.0570 5.0570 4.9259 Å, 90.00 90.00 90.00°
Closest atoms and distances in Å follow each position.
Atoms (fractional coordinates):
1 La 0.0000 0.0000 0.5000  2 Co 2.46
2 Co 0.0000 0.0000 0.0000  2 La 2.46, 4 Mg 2.53
3 Mg 0.0000 0.5000 0.0000  2 Co 2.53
4 In 0.5000 0.5000 0.5000  8 Mg 3.53, 4 La 3.58
5 Mg 0.5000 0.0000 0.0000  2 Co 2.53


#B
This record from the Alexandria database describes a relaxed LaMg2InCo crystal. The functional is GGA-PBE.

Properties
**Space group**: P4/mmm (123)
**Total magnetization**: 0.376 μB per cell
**Fermi-level density of states**: 4.4 states/eV per cell

Cell: 4.8758 4.8758 4.9485 Å, 90.00 90.00 90.00°
Closest atoms and distances in Å follow each position.
Atoms (fractional coordinates):
1 Co 0.0000 0.0000 0.0000  4 Mg 2.44, 2 In 2.47
2 In 0.0000 0.0000 0.5000  2 Co 2.47
3 Mg 0.5000 0.0000 0.0000  2 Co 2.44
4 La 0.5000 0.5000 0.5000  4 In 3.45, 8 Mg 3.47
5 Mg 0.0000 0.5000 0.0000  2 Co 2.44


Best to worst by energy: #B, #A.


#A
This record from the Alexandria database describes a relaxed La2InCoSn crystal. The functional is GGA-PBE.

Properties
**Space group**: P4/mmm (123)
**Total magnetization**: 0.000 μB per cell
**Fermi-level density of states**: 3.5 states/eV per cell

Cell: 5.2775 5.2775 4.9484 Å, 90.00 90.00 90.00°
Closest atoms and distances in Å follow each position.
Atoms (fractional coordinates):
1 La 0.0000 0.5000 0.0000  2 Co 2.64
2 Co 0.0000 0.0000 0.0000  2 Sn 2.47, 4 La 2.64
3 Sn 0.0000 0.0000 0.5000  2 Co 2.47
4 La 0.5000 0.0000 0.0000  2 Co 2.64
5 In 0.5000 0.5000 0.5000  8 La 3.62, 4 Sn 3.73


#B
This record from the Alexandria database describes a relaxed La2InCoSn crystal. The functional is GGA-PBE.

Properties
**Space group**: P4/mmm (123)
**Total magnetization**: 0.000 μB per cell
**Fermi-level density of states**: 2.9 states/eV per cell

Cell: 5.2337 5.2337 4.9937 Å, 90.00 90.00 90.00°
Closest atoms and distances in Å follow each position.
Atoms (fractional coordinates):
1 Sn 0.5000 0.5000 0.5000  8 La 3.62, 4 In 3.70
2 La 0.5000 0.0000 0.0000  2 Co 2.62
3 In 0.0000 0.0000 0.5000  2 Co 2.50
4 Co 0.0000 0.0000 0.0000  2 In 2.50, 4 La 2.62
5 La 0.0000 0.5000 0.0000  2 Co 2.62


Best to worst by energy: #B, #A.


#A
This record from the Alexandria database describes a relaxed SrLa2InCo crystal. The functional is GGA-PBE.

Properties
**Space group**: P4/mmm (123)
**Total magnetization**: 0.000 μB per cell
**Fermi-level density of states**: 4.3 states/eV per cell

Cell: 5.3994 5.3994 5.3040 Å, 90.00 90.00 90.00°
Closest atoms and distances in Å follow each position.
Atoms (fractional coordinates):
1 Sr 0.5000 0.5000 0.5000  8 La 3.78, 4 In 3.82
2 La 0.0000 0.5000 0.0000  2 Co 2.70
3 Co 0.0000 0.0000 0.0000  2 In 2.65, 4 La 2.70
4 In 0.0000 0.0000 0.5000  2 Co 2.65
5 La 0.5000 0.0000 0.0000  2 Co 2.70


#B
This record from the Alexandria database describes a relaxed SrLa2InCo crystal. The functional is GGA-PBE.

Properties
**Space group**: P4/mmm (123)
**Total magnetization**: 0.000 μB per cell
**Fermi-level density of states**: 6.2 states/eV per cell

Cell: 5.2628 5.2628 5.7613 Å, 90.00 90.00 90.00°
Closest atoms and distances in Å follow each position.
Atoms (fractional coordinates):
1 La 0.0000 0.5000 0.0000  2 Co 2.63
2 In 0.5000 0.5000 0.5000  4 Sr 3.72, 8 La 3.90
3 La 0.5000 0.0000 0.0000  2 Co 2.63
4 Co 0.0000 0.0000 0.0000  4 La 2.63, 2 Sr 2.88
5 Sr 0.0000 0.0000 0.5000  2 Co 2.88


Best to worst by energy: #A, #B.


#A
This record from the Alexandria database describes a relaxed LaTlIn2Co crystal. The functional is GGA-PBE.

Properties
**Space group**: P4/mmm (123)
**Total magnetization**: 0.000 μB per cell
**Fermi-level density of states**: 2.9 states/eV per cell

Cell: 5.0739 5.0739 5.0513 Å, 90.00 90.00 90.00°
Closest atoms and distances in Å follow each position.
Atoms (fractional coordinates):
1 In 0.0000 0.5000 0.0000  2 Co 2.54
2 Tl 0.5000 0.5000 0.5000  8 In 3.58, 4 La 3.59
3 Co 0.0000 0.0000 0.0000  2 La 2.53, 4 In 2.54
4 La 0.0000 0.0000 0.5000  2 Co 2.53
5 In 0.5000 0.0000 0.0000  2 Co 2.54


#B
This record from the Alexandria database describes a relaxed LaTlIn2Co crystal. The functional is GGA-PBE.

Properties
**Space group**: P4/mmm (123)
**Total magnetization**: 0.234 μB per cell
**Fermi-level density of states**: 4.4 states/eV per cell

Cell: 4.9705 4.9705 5.0394 Å, 90.00 90.00 90.00°
Closest atoms and distances in Å follow each position.
Atoms (fractional coordinates):
1 In 0.0000 0.5000 0.0000  2 Co 2.49
2 Co 0.0000 0.0000 0.0000  4 In 2.49, 2 Tl 2.52
3 La 0.5000 0.5000 0.5000  4 Tl 3.51, 8 In 3.54
4 In 0.5000 0.0000 0.0000  2 Co 2.49
5 Tl 0.0000 0.0000 0.5000  2 Co 2.52


Best to worst by energy: #A, #B.


#A
This record from the Alexandria database describes a relaxed La2YInCo crystal. The functional is GGA-PBE.

Properties
**Space group**: P4/mmm (123)
**Total magnetization**: 0.000 μB per cell
**Fermi-level density of states**: 5.5 states/eV per cell

Cell: 5.1755 5.1755 5.4533 Å, 90.00 90.00 90.00°
Closest atoms and distances in Å follow each position.
Atoms (fractional coordinates):
1 La 0.0000 0.5000 0.0000  2 Co 2.59
2 Co 0.0000 0.0000 0.0000  4 La 2.59, 2 Y 2.73
3 Y 0.0000 0.0000 0.5000  2 Co 2.73
4 La 0.5000 0.0000 0.0000  2 Co 2.59
5 In 0.5000 0.5000 0.5000  4 Y 3.66, 8 La 3.76


#B
This record from the Alexandria database describes a relaxed La2YInCo crystal. The functional is GGA-PBE.

Properties
**Space group**: P4/mmm (123)
**Total magnetization**: 0.653 μB per cell
**Fermi-level density of states**: 7.4 states/eV per cell

Cell: 5.2537 5.2537 5.2414 Å, 90.00 90.00 90.00°
Closest atoms and distances in Å follow each position.
Atoms (fractional coordinates):
1 Co 0.0000 0.0000 0.0000  2 In 2.62, 4 La 2.63
2 La 0.0000 0.5000 0.0000  2 Co 2.63
3 La 0.5000 0.0000 0.0000  2 Co 2.63
4 Y 0.5000 0.5000 0.5000  8 La 3.71, 4 In 3.71
5 In 0.0000 0.0000 0.5000  2 Co 2.62


Best to worst by energy: #A, #B.